Arrangement w

A relaxed PmCuPd4 crystal. Source: Alexandria, functional PBE.

Summary:
Symmetry = Pmma
Total magnetic moment = 0.0000 μB/atom

The structure in extended XYZ format:
```
12
Lattice="7.492 0.000 0.000 0.000 4.094 0.000 0.000 0.000 6.880" Properties=species:S:1:pos:R:3 pbc="T T T"
Pm 1.873 0.000 1.004
Pm 5.619 0.000 5.877
Cu 1.873 0.000 5.058
Cu 5.619 0.000 1.822
Pd 0.000 0.000 3.440
Pd 0.384 2.047 5.558
Pd 1.873 2.047 3.164
Pd 3.362 2.047 5.558
Pd 3.746 0.000 3.440
Pd 4.130 2.047 1.323
Pd 5.619 2.047 3.717
Pd 7.108 2.047 1.323
```

Arrangement x

A relaxed PmCuPd4 crystal. Source: Alexandria, functional PBE.

Summary:
Symmetry = F-43m
Total magnetic moment = 0.0000 μB/atom

The structure in extended XYZ format:
```
6
Lattice="0.000 3.776 3.776 3.776 0.000 3.776 3.776 3.776 0.000" Properties=species:S:1:pos:R:3 pbc="T T T"
Pm 0.000 0.000 0.000
Cu 5.664 5.664 5.664
Pd 2.836 2.836 2.836
Pd 4.717 4.717 2.836
Pd 4.717 2.836 4.717
Pd 2.836 4.717 4.717
```

Of them, arrangement w has the highest stability.